[1]
## KAc3Y2Te6 (PBE)

Data for crystalline KAc3Y2Te6 at its relaxed geometry.

Results
Formation energy (no corrections) (eV/atom): -1.395
N(E_F) (states/eV/cell): 5.086

The structure in extended XYZ format:
```
12
Lattice="4.599 0.000 0.000 0.000 9.317 0.362 -2.299 -2.652 9.722" Properties=species:S:1:pos:R:3 pbc="T T T"
K 2.299 0.000 0.000
Ac 2.299 4.658 0.181
Ac 2.299 -0.187 6.690
Ac 0.000 6.851 3.394
Y 2.299 4.338 6.687
Y 0.000 2.326 3.397
Te 0.000 6.606 6.715
Te 2.299 4.428 3.547
Te 2.299 0.058 3.370
Te 0.000 2.315 0.303
Te 2.299 4.349 9.782
Te 0.000 2.237 6.537
```

[2]
## BaCe2CdAs4 (PBE)

Data for crystalline BaCe2CdAs4 at its relaxed geometry.

Results
Formation energy (meV per atom): -1023

The structure in extended XYZ format:
```
16
Lattice="4.358 0.000 0.000 -2.179 7.229 0.000 0.000 0.000 14.506" Properties=species:S:1:pos:R:3 pbc="T T T"
Ba 0.000 1.723 10.879
Ba 2.179 5.507 3.626
Ce 0.000 5.360 8.104
Ce 2.179 1.869 0.851
Ce 2.179 1.869 6.402
Ce 0.000 5.360 13.655
Cd 2.179 5.048 10.879
Cd 0.000 2.182 3.626
As 0.000 3.766 1.519
As 2.179 3.463 8.772
As 2.179 3.463 12.987
As 0.000 3.766 5.734
As 0.000 0.000 7.253
As 0.000 0.000 0.000
As 0.000 6.535 10.879
As 2.179 0.695 3.626
```